# Mn3NbP

Crystalline Mn3NbP at its relaxed geometry (PBE-GGA, the Alexandria database).

Structure (CIF):
```
data_Mn3NbP
_chemical_formula_sum 'Mn3 Nb1 P1'
_cell_length_a 4.664
_cell_length_b 4.664
_cell_length_c 4.664
_cell_angle_alpha 90.00
_cell_angle_beta 90.00
_cell_angle_gamma 90.00
_space_group_name_H-M_alt 'P 1'
_space_group_IT_number 1
_space_group_name_Hall 'P 1'
loop_
_atom_site_label
_atom_site_type_symbol
_atom_site_fract_x
_atom_site_fract_y
_atom_site_fract_z
_atom_site_occupancy
P1 P 0.500 0.500 0.500 1
Nb1 Nb 0.000 0.000 0.000 1
Mn1 Mn 0.000 0.500 0.000 1
Mn2 Mn 0.000 0.000 0.500 1
Mn3 Mn 0.500 0.000 0.000 1
```

Summary:
Relative energy among the computed polymorphs in eV per atom: 1.2794
Magnetization in μB/f.u.: 8.47
ΔH_f (0 K) in kcal/mol of atoms: 34.7